Entry 1:
The following is a PBE-GGA calculation of a relaxed structure of LaTcIr2, from Alexandria.

Geometry as POSCAR:
```
LaTcIr2
1.0
-1.450 2.436 5.178
1.450 -2.436 5.178
1.450 2.436 -5.178
La Tc Ir
1 1 2
direct
0.000 0.000 0.000
0.714 0.214 0.500
0.271 0.771 0.500
0.498 0.498 0.000
```

Values from the calculation:
raw total energy: -8.14 eV per atom
relative energy among the computed polymorphs: 0.210 eV/atom
ΔH_f (0 K): 0.5 eV per formula unit
volume: 18.29 Å³/atom

=====

Entry 2:
The following is a PBE-GGA calculation of a relaxed structure of LaTcIr2, from Alexandria.

Geometry as POSCAR:
```
LaTcIr2
1.0
3.177 0.000 0.000
0.000 3.177 0.000
0.000 0.000 7.457
La Tc Ir
1 1 2
direct
0.000 0.000 0.000
0.500 0.500 0.329
0.000 0.000 0.495
0.500 0.500 0.717
```

Values from the calculation:
raw total energy: -8.09 eV per atom
relative energy among the computed polymorphs: 0.260 eV/atom
ΔH_f (0 K): 0.7 eV per formula unit
volume: 18.81 Å³/atom